Entry A
Compound: Zn2CdCl
Source: Alexandria via LeMat-Bulk
Functional: PBEsol
Structure: optimized geometry

The structure in extended XYZ format:
```
4
Lattice="3.295 0.000 0.000 0.000 5.331 0.000 -0.386 0.000 4.480" Properties=species:S:1:pos:R:3 pbc="T T T"
Zn 0.649 0.000 1.128
Zn 2.259 0.000 3.352
Cd -0.193 2.665 2.240
Cl 1.647 2.665 0.000
```

DOS at the Fermi energy (states/eV/cell): 1.60



Entry B
Compound: Zn2CdCl
Source: Alexandria via LeMat-Bulk
Functional: PBEsol
Structure: optimized geometry

The structure in extended XYZ format:
```
4
Lattice="5.029 0.000 0.000 0.000 5.029 0.000 0.000 0.000 2.919" Properties=species:S:1:pos:R:3 pbc="T T T"
Zn 0.000 2.514 0.000
Zn 2.514 0.000 0.000
Cd 0.000 0.000 1.459
Cl 2.514 2.514 1.459
```

DOS at the Fermi energy (states/eV/cell): 1.44



It is entry A that is the least stable of them.



Entry A
Compound: CdFeCo
Source: Alexandria via LeMat-Bulk
Functional: PBEsol
Structure: optimized geometry

The structure in extended XYZ format:
```
3
Lattice="0.000 2.867 2.867 2.867 0.000 2.867 2.867 2.867 0.000" Properties=species:S:1:pos:R:3 pbc="T T T"
Cd 0.000 0.000 0.000
Fe 2.867 2.867 2.867
Co 4.300 4.300 4.300
```

DOS at the Fermi energy (states/eV/cell): 3.22



Entry B
Compound: CdFeCo
Source: Alexandria via LeMat-Bulk
Functional: PBEsol
Structure: optimized geometry

The structure in extended XYZ format:
```
3
Lattice="4.176 0.000 0.000 -2.088 3.617 0.000 0.000 0.000 2.681" Properties=species:S:1:pos:R:3 pbc="T T T"
Cd 0.000 0.000 0.000
Fe 2.088 1.206 1.547
Co 0.000 2.411 1.122
```

DOS at the Fermi energy (states/eV/cell): 2.73



It is entry A that is the least stable of them.



Entry A
Compound: CdGaCo3
Source: Alexandria via LeMat-Bulk
Functional: PBEsol
Structure: optimized geometry

The structure in extended XYZ format:
```
5
Lattice="4.602 0.000 0.000 0.000 4.602 0.000 0.000 0.000 4.602" Properties=species:S:1:pos:R:3 pbc="T T T"
Cd 0.000 0.000 0.000
Ga 2.301 2.301 2.301
Co 0.000 0.000 2.301
Co 0.000 2.301 0.000
Co 2.301 0.000 0.000
```

DOS at the Fermi energy (states/eV/cell): 12.95



Entry B
Compound: CdGaCo3
Source: Alexandria via LeMat-Bulk
Functional: PBEsol
Structure: optimized geometry

The structure in extended XYZ format:
```
5
Lattice="4.290 0.000 0.000 0.000 4.290 0.000 0.000 0.000 4.290" Properties=species:S:1:pos:R:3 pbc="T T T"
Cd 0.000 0.000 0.000
Ga 2.145 2.145 2.145
Co 0.000 2.145 2.145
Co 2.145 0.000 2.145
Co 2.145 2.145 0.000
```

DOS at the Fermi energy (states/eV/cell): 8.88



It is entry A that is the least stable of them.



Entry A
Compound: CdCoNi2
Source: Alexandria via LeMat-Bulk
Functional: PBEsol
Structure: optimized geometry

The structure in extended XYZ format:
```
4
Lattice="2.705 0.000 0.000 0.000 2.705 0.000 0.000 0.000 6.810" Properties=species:S:1:pos:R:3 pbc="T T T"
Cd 0.000 0.000 0.000
Co 1.352 1.352 1.992
Ni 0.000 0.000 3.401
Ni 1.352 1.352 4.892
```

DOS at the Fermi energy (states/eV/cell): 4.61



Entry B
Compound: CdCoNi2
Source: Alexandria via LeMat-Bulk
Functional: PBEsol
Structure: optimized geometry

The structure in extended XYZ format:
```
4
Lattice="2.636 -3.575 0.000 2.636 3.575 0.000 0.000 0.000 2.644" Properties=species:S:1:pos:R:3 pbc="T T T"
Cd 0.000 0.000 0.000
Co 2.636 0.000 0.000
Ni 1.318 1.788 1.322
Ni 1.318 -1.788 1.322
```

DOS at the Fermi energy (states/eV/cell): 4.51



Entry C
Compound: CdCoNi2
Source: Alexandria via LeMat-Bulk
Functional: PBEsol
Structure: optimized geometry

The structure in extended XYZ format:
```
4
Lattice="4.232 -1.316 0.000 4.232 1.316 0.000 -0.858 0.000 4.489" Properties=species:S:1:pos:R:3 pbc="T T T"
Cd 0.000 0.000 0.000
Co 1.426 0.000 3.140
Ni 3.803 0.000 2.258
Ni 6.188 0.000 1.201
```

DOS at the Fermi energy (states/eV/cell): 4.61



It is entry B that is the least stable of them.



Entry A
Compound: CdCo2Sb
Source: Alexandria via LeMat-Bulk
Functional: PBEsol
Structure: optimized geometry

The structure in extended XYZ format:
```
4
Lattice="3.084 0.000 0.000 0.000 3.084 0.000 0.000 0.000 6.213" Properties=species:S:1:pos:R:3 pbc="T T T"
Cd 0.000 0.000 0.000
Co 1.542 1.542 1.720
Co 1.542 1.542 4.493
Sb 0.000 0.000 3.106
```

DOS at the Fermi energy (states/eV/cell): 2.40



Entry B
Compound: CdCo2Sb
Source: Alexandria via LeMat-Bulk
Functional: PBEsol
Structure: optimized geometry

The structure in extended XYZ format:
```
4
Lattice="3.945 -1.511 0.000 3.945 1.511 0.000 -1.102 0.000 5.247" Properties=species:S:1:pos:R:3 pbc="T T T"
Cd 0.000 0.000 0.000
Co 1.150 0.000 3.731
Co 5.638 0.000 1.515
Sb 3.394 0.000 2.623
```

DOS at the Fermi energy (states/eV/cell): 3.63



Entry C
Compound: CdCo2Sb
Source: Alexandria via LeMat-Bulk
Functional: PBEsol
Structure: optimized geometry

The structure in extended XYZ format:
```
4
Lattice="0.000 3.076 3.076 3.076 0.000 3.076 3.076 3.076 0.000" Properties=species:S:1:pos:R:3 pbc="T T T"
Cd 0.000 0.000 0.000
Co 1.538 1.538 1.538
Co 4.614 4.614 4.614
Sb 3.076 3.076 3.076
```

DOS at the Fermi energy (states/eV/cell): 1.87



It is entry B that is the least stable of them.



Entry A
Compound: CdCo3Tc
Source: Alexandria via LeMat-Bulk
Functional: PBEsol
Structure: optimized geometry

The structure in extended XYZ format:
```
5
Lattice="4.333 0.000 0.000 0.000 4.333 0.000 0.000 0.000 4.333" Properties=species:S:1:pos:R:3 pbc="T T T"
Cd 0.000 0.000 0.000
Co 0.000 2.167 2.167
Co 2.167 0.000 2.167
Co 2.167 2.167 0.000
Tc 2.167 2.167 2.167
```

DOS at the Fermi energy (states/eV/cell): 6.93



Entry B
Compound: CdCo3Tc
Source: Alexandria via LeMat-Bulk
Functional: PBEsol
Structure: optimized geometry

The structure in extended XYZ format:
```
5
Lattice="4.480 0.000 0.000 0.000 4.480 0.000 0.000 0.000 4.480" Properties=species:S:1:pos:R:3 pbc="T T T"
Cd 0.000 0.000 0.000
Co 0.000 0.000 2.240
Co 0.000 2.240 0.000
Co 2.240 0.000 0.000
Tc 2.240 2.240 2.240
```

DOS at the Fermi energy (states/eV/cell): 10.76



It is entry B that is the least stable of them.